1.
The following is a DFT calculation (PBE) of HoNb2Pt9 after structural relaxation.

Calculated values
Electronic total energy (eV/atom): -7.34
Symmetry: P4/mmm
Mass density (g/cm³): 17.68
Calculated formation energy (eV per atom): -0.75
Total moment (μB per atom): 0.0000

Cell: 4.0324 4.0324 12.1684 Å, 90.00 90.00 90.00°
Closest atoms and distances in Å follow each position.
Positions (direct):
Ho (0.0000, 0.0000, 0.0000)  12 Pt 2.85-2.95
Nb (0.0000, 0.0000, 0.3326)  12 Pt 2.76-2.87
Nb (0.0000, 0.0000, 0.6674)  12 Pt 2.76-2.87
Pt (0.0000, 0.5000, 0.1771)  2 Nb 2.76, 8 Pt 2.82-2.95, 2 Ho 2.95
Pt (0.0000, 0.5000, 0.5000)  8 Pt 2.81-2.85, 4 Nb 2.87
Pt (0.0000, 0.5000, 0.8229)  2 Nb 2.76, 8 Pt 2.82-2.95, 2 Ho 2.95
Pt (0.5000, 0.0000, 0.1771)  2 Nb 2.76, 8 Pt 2.82-2.95, 2 Ho 2.95
Pt (0.5000, 0.0000, 0.5000)  8 Pt 2.81-2.85, 4 Nb 2.87
Pt (0.5000, 0.0000, 0.8229)  2 Nb 2.76, 8 Pt 2.82-2.95, 2 Ho 2.95
Pt (0.5000, 0.5000, 0.0000)  4 Ho 2.85, 8 Pt 2.95
Pt (0.5000, 0.5000, 0.3388)  8 Pt 2.81-2.82, 4 Nb 2.85
Pt (0.5000, 0.5000, 0.6612)  8 Pt 2.81-2.82, 4 Nb 2.85

2.
The following is a DFT calculation (PBE) of KGaCo3 after structural relaxation.

Calculated values
Electronic total energy (eV/atom): -4.05
Symmetry: Pm-3m
Mass density (g/cm³): 4.78
Calculated formation energy (eV per atom): 1.03
Total moment (μB per atom): 0.9077
Energy relative to the lowest polymorph listed for this composition (eV per formula unit): 0.000

Cell: 4.6291 4.6291 4.6291 Å, 90.00 90.00 90.00°
Closest atoms and distances in Å follow each position.
Positions (direct):
K (0.0000, 0.0000, 0.0000)  12 Co 3.27
Ga (0.5000, 0.5000, 0.5000)  6 Co 2.31
Co (0.0000, 0.5000, 0.5000)  2 Ga 2.31
Co (0.5000, 0.0000, 0.5000)  2 Ga 2.31
Co (0.5000, 0.5000, 0.0000)  2 Ga 2.31

3.
The following is a DFT calculation (PBE) of CoTc2B2 after structural relaxation.

Calculated values
Electronic total energy (eV/atom): -8.47
Symmetry: Cmmm
Mass density (g/cm³): 9.09
Calculated formation energy (eV per atom): -0.24
Total moment (μB per atom): 0.1192
Energy relative to the lowest polymorph listed for this composition (eV per formula unit): 0.576

Cell: 5.3412 5.3412 3.3371 Å, 90.00 90.00 147.95°
Closest atoms and distances in Å follow each position.
Positions (direct):
Co (0.0000, 0.0000, 0.0000)  2 B 2.07
Tc (0.3647, 0.6353, 0.5000)  6 B 2.33-2.37
Tc (0.6353, 0.3647, 0.5000)  6 B 2.33-2.37
B (0.2013, 0.7987, 0.0000)  2 B 1.78
B (0.7987, 0.2013, 0.0000)  2 B 1.78

4.
The following is a DFT calculation (PBE) of BaY2As after structural relaxation.

Calculated values
Electronic total energy (eV/atom): -5.03
Symmetry: I-4m2
Mass density (g/cm³): 5.45
Calculated formation energy (eV per atom): -0.16
Total moment (μB per atom): 0.0001

Cell: 6.3173 6.3173 6.3173 Å, 136.30 136.30 63.51°
Closest atoms and distances in Å follow each position.
Positions (direct):
Ba (0.0000, 0.0000, 0.0000)  8 Y 3.32-3.57, 4 As 3.57
Y (0.2500, 0.7500, 0.5000)  4 As 3.32, 4 Ba 3.57, 4 Y 3.57
Y (0.5000, 0.5000, 0.0000)  4 Ba 3.32, 4 As 3.57, 4 Y 3.57
As (0.7500, 0.2500, 0.5000)  8 Y 3.32-3.57, 4 Ba 3.57

5.
The following is a DFT calculation (PBE) of AlTl3Se3 after structural relaxation.

Calculated values
Electronic total energy (eV/atom): -3.64
Symmetry: P2_1/c
Mass density (g/cm³): 6.56
Total moment (μB per atom): 0.0000
Energy relative to the lowest polymorph listed for this composition (eV per formula unit): 0.000

Cell: 9.1586 7.4972 13.1312 Å, 90.00 99.80 90.00°
Closest atoms and distances in Å follow each position.
Positions (direct):
Al (0.1652, 0.0743, 0.0306)  4 Se 2.41-2.44
Al (0.1652, 0.4257, 0.5306)  4 Se 2.41-2.44
Al (0.8348, 0.5743, 0.4694)  4 Se 2.41-2.44
Al (0.8348, 0.9257, 0.9694)  4 Se 2.41-2.44
Tl (0.1016, 0.6295, 0.1267)  5 Se 3.27-3.63, 1 Tl 3.55, 1 Al 3.65
Tl (0.1016, 0.8705, 0.6267)  5 Se 3.27-3.63, 1 Tl 3.55, 1 Al 3.65
Tl (0.3033, 0.2171, 0.7718)  3 Se 3.03-3.24
Tl (0.3033, 0.2829, 0.2718)  3 Se 3.03-3.24
Tl (0.4237, 0.7499, 0.4254)  5 Se 3.15-3.50
Tl (0.4237, 0.7501, 0.9254)  5 Se 3.15-3.50
Tl (0.5763, 0.2499, 0.0746)  5 Se 3.15-3.50
Tl (0.5763, 0.2501, 0.5746)  5 Se 3.15-3.50
Tl (0.6967, 0.7171, 0.7282)  3 Se 3.03-3.24
Tl (0.6967, 0.7829, 0.2282)  3 Se 3.03-3.24
Tl (0.8984, 0.1295, 0.3733)  5 Se 3.27-3.63, 1 Tl 3.55, 1 Al 3.65
Tl (0.8984, 0.3705, 0.8733)  5 Se 3.27-3.63, 1 Tl 3.55, 1 Al 3.65
Se (0.0528, 0.6162, 0.3877)  2 Al 2.44
Se (0.0528, 0.8838, 0.8877)  2 Al 2.44
Se (0.2498, 0.1412, 0.4781)  1 Al 2.41
Se (0.2498, 0.3588, 0.9781)  1 Al 2.41
Se (0.3644, 0.5718, 0.6441)  1 Al 2.41
Se (0.3644, 0.9282, 0.1441)  1 Al 2.41
Se (0.6356, 0.0718, 0.8559)  1 Al 2.41
Se (0.6356, 0.4282, 0.3559)  1 Al 2.41
Se (0.7502, 0.6412, 0.0219)  1 Al 2.41
Se (0.7502, 0.8588, 0.5219)  1 Al 2.41
Se (0.9472, 0.1162, 0.1123)  2 Al 2.44
Se (0.9472, 0.3838, 0.6123)  2 Al 2.44

6.
The following is a DFT calculation (PBE) of MgMnBr2 after structural relaxation.

Calculated values
Electronic total energy (eV/atom): -3.30
Symmetry: F-43m
Mass density (g/cm³): 3.90
Total moment (μB per atom): 1.2410
Energy relative to the lowest polymorph listed for this composition (eV per formula unit): 3.069

Cell: 5.2425 5.2425 5.2425 Å, 60.00 60.00 60.00°
Closest atoms and distances in Å follow each position.
Positions (direct):
Mg (0.0000, 0.0000, 0.0000)  4 Mn 3.21, 4 Br 3.21
Mn (0.7500, 0.7500, 0.7500)  4 Br 3.21, 4 Mg 3.21
Br (0.2500, 0.2500, 0.2500)  4 Br 3.21, 4 Mg 3.21
Br (0.5000, 0.5000, 0.5000)  4 Mn 3.21, 4 Br 3.21

7.
The following is a DFT calculation (PBE) of Zn2CrTc after structural relaxation.

Calculated values
Electronic total energy (eV/atom): -5.23
Symmetry: Fm-3m
Mass density (g/cm³): 8.63
Calculated formation energy (eV per atom): 0.40
Total moment (μB per atom): 0.0000
Energy relative to the lowest polymorph listed for this composition (eV per formula unit): 1.463

Cell: 4.2439 4.2439 4.2439 Å, 60.00 60.00 60.00°
Closest atoms and distances in Å follow each position.
Positions (direct):
Zn (0.2500, 0.2500, 0.2500)  4 Tc 2.60, 4 Cr 2.60
Zn (0.7500, 0.7500, 0.7500)  4 Cr 2.60, 4 Tc 2.60
Cr (0.0000, 0.0000, 0.0000)  8 Zn 2.60
Tc (0.5000, 0.5000, 0.5000)  8 Zn 2.60

8.
The following is a DFT calculation (PBE) of CsBe2GeH after structural relaxation.

Calculated values
Electronic total energy (eV/atom): -1.31
Symmetry: P4/mmm
Mass density (g/cm³): 3.23
Total moment (μB per atom): 0.0000

Cell: 5.4158 5.4158 3.9381 Å, 90.00 90.00 90.00°
Closest atoms and distances in Å follow each position.
Positions (direct):
Cs (0.0000, 0.0000, 0.0000)  2 H 1.97
Be (0.0000, 0.5000, 0.0000)  2 Cs 2.71
Be (0.5000, 0.0000, 0.0000)  2 Cs 2.71
Ge (0.5000, 0.5000, 0.5000)  8 Be 3.35
H (0.0000, 0.0000, 0.5000)  2 Cs 1.97

9.
The following is a DFT calculation (PBE) of LaPuAl2 after structural relaxation.

Calculated values
Electronic total energy (eV/atom): -6.86
Symmetry: Fm-3m
Mass density (g/cm³): 7.19
Calculated formation energy (eV per atom): -0.18
Total moment (μB per atom): 1.3652
Energy relative to the lowest polymorph listed for this composition (eV per formula unit): 0.106

Cell: 5.2260 5.2260 5.2260 Å, 60.00 60.00 60.00°
Closest atoms and distances in Å follow each position.
Positions (direct):
La (0.0000, 0.0000, 0.0000)  8 Al 3.20
Pu (0.5000, 0.5000, 0.5000)  8 Al 3.20
Al (0.2500, 0.2500, 0.2500)  4 Pu 3.20, 4 La 3.20
Al (0.7500, 0.7500, 0.7500)  4 La 3.20, 4 Pu 3.20

10.
The following is a DFT calculation (PBE) of Pa3Ga2Pd7 after structural relaxation.

Calculated values
Electronic total energy (eV/atom): -6.49
Symmetry: P2/m
Mass density (g/cm³): 11.50
Calculated formation energy (eV per atom): -0.58
Total moment (μB per atom): 0.0898

Cell: 4.1215 3.9613 14.0982 Å, 90.00 98.37 90.00°
Closest atoms and distances in Å follow each position.
Positions (direct):
Pa (0.0000, 0.0000, 0.0000)  12 Pd 2.86-2.96
Pa (0.3187, 0.5000, 0.6357)  6 Pd 3.04-3.39, 4 Ga 3.19
Pa (0.6813, 0.5000, 0.3643)  6 Pd 3.04-3.39, 4 Ga 3.19
Ga (0.1300, 0.0000, 0.2627)  5 Pd 2.45-2.58
Ga (0.8700, 0.0000, 0.7373)  5 Pd 2.45-2.58
Pd (0.0735, 0.5000, 0.1486)  2 Ga 2.54
Pd (0.2194, 0.0000, 0.4386)  1 Ga 2.45, 2 Pd 2.68
Pd (0.4250, 0.0000, 0.8481)  2 Ga 2.58, 4 Pd 2.86
Pd (0.5000, 0.5000, 0.0000)  4 Pa 2.86, 8 Pd 2.90-2.92
Pd (0.5750, 0.0000, 0.1519)  2 Ga 2.58, 4 Pd 2.86
Pd (0.7806, 0.0000, 0.5614)  1 Ga 2.45, 2 Pd 2.68
Pd (0.9265, 0.5000, 0.8514)  2 Ga 2.54

11.
The following is a DFT calculation (PBE) of SrCaCu2C after structural relaxation.

Calculated values
Electronic total energy (eV/atom): -2.02
Symmetry: P4/mmm
Mass density (g/cm³): 2.05
Calculated formation energy (eV per atom): 2.20
Total moment (μB per atom): 0.4003
Energy relative to the lowest polymorph listed for this composition (eV per formula unit): 1.312

Cell: 5.2979 5.2979 7.7149 Å, 90.00 90.00 90.00°
Closest atoms and distances in Å follow each position.
Positions (direct):
Sr (0.0000, 0.0000, 0.0000)  4 Cu 2.65
Ca (0.0000, 0.0000, 0.5000)  4 C 3.75, 2 Sr 3.86
Cu (0.0000, 0.5000, 0.0000)  2 Sr 2.65
Cu (0.5000, 0.0000, 0.0000)  2 Sr 2.65
C (0.5000, 0.5000, 0.5000)  4 Ca 3.75

12.
The following is a DFT calculation (PBE) of BiRuSe2 after structural relaxation.

Calculated values
Electronic total energy (eV/atom): -4.91
Symmetry: I-42d
Mass density (g/cm³): 7.23
Total moment (μB per atom): 0.0000

Cell: 6.7336 6.7336 6.7336 Å, 120.29 120.29 89.51°
Closest atoms and distances in Å follow each position.
Positions (direct):
Bi (0.0000, 0.0000, 0.0000)  4 Se 2.98
Bi (0.7500, 0.2500, 0.5000)  4 Se 2.98
Ru (0.2500, 0.7500, 0.5000)  4 Se 2.38
Ru (0.5000, 0.5000, 0.0000)  4 Se 2.38
Se (0.1961, 0.6250, 0.0711)  2 Ru 2.38
Se (0.3750, 0.4461, 0.5711)  2 Ru 2.38
Se (0.5539, 0.1250, 0.9289)  2 Ru 2.38
Se (0.8750, 0.8039, 0.4289)  2 Ru 2.38

> Which of these has the highest total moment?

LaPuAl2

> Among the records above, which one has the highest total moment?

LaPuAl2

> What is the total moment in the eighth record?

0.0000 μB per atom